# CoHg2Se, optimized geometry, DFT PBE
data_CoHg2Se
_chemical_formula_sum 'Co1 Hg2 Se1'
_cell_length_a 3.0085
_cell_length_b 3.0085
_cell_length_c 9.5688
_cell_angle_alpha 90.00
_cell_angle_beta 90.00
_cell_angle_gamma 90.00
_symmetry_space_group_name_H-M 'P 4 m m'
_symmetry_Int_Tables_number 99
loop_
_symmetry_equiv_pos_as_xyz
'x,y,z'
'-y,x,z'
'-x,-y,z'
'y,-x,z'
'-x,y,z'
'y,x,z'
'x,-y,z'
'-y,-x,z'
loop_
_atom_site_label
_atom_site_type_symbol
_atom_site_fract_x
_atom_site_fract_y
_atom_site_fract_z
Co1 Co 0.0000 0.0000 0.0000
Hg1 Hg 0.0000 0.0000 0.5378
Hg2 Hg 0.5000 0.5000 0.2333
Se1 Se 0.5000 0.5000 0.8873
# **ρ**: 10336 kg/m3
# **Density of states at the Fermi level**: 2.79 states/eV per cell
# **Total magnetization**: 0.63 μB per cell
# **Uncorrected formation energy**: 0.083 eV/atom
# **Crystal system**: tetragonal